# 1
Computed, not measured: crystalline DyY2S at its relaxed geometry at the PBE level of DFT.

a = 3.741 Å, b = 3.741 Å, c = 9.434 Å
α = 78.56°, β = 78.56°, γ = 60.00°
Each line ends with the local moment (μB).
Fractional coordinates of all 4 atoms:
Dy  0.500  0.500  0.501  0.30
Y  0.061  0.061  0.816  0.06
Y  0.272  0.272  0.183  0.04
S  0.667  0.667  0.000  0.00

Properties
Energy above the lowest structure with this stoichiometry = 0 meV/atom
Formation energy from raw total energies = -0.964 eV per atom
Density = 5.555 Mg/m³
Total DFT energy (no corrections) = -6.3782 eV per atom
Space-group type = R3m, No. 160

=====

# 2
Computed, not measured: crystalline BeGeRu2S at its relaxed geometry at the PBE level of DFT.

a = 4.463 Å, b = 3.732 Å, c = 4.463 Å
α = 90.00°, β = 90.00°, γ = 90.00°
Each line ends with the local moment (μB).
Fractional coordinates of all 5 atoms:
Ru  0.000  0.000  0.500  0.12
Ru  0.500  0.000  0.000  0.17
Ge  0.500  0.500  0.500  0.00
S  0.000  0.000  0.000  0.01
Be  0.000  0.500  0.000  0.00

Properties
Formation energy from raw total energies = 0.481 eV per atom
Density = 7.054 Mg/m³
Total DFT energy (no corrections) = -5.7234 eV per atom
Space-group type = P4/mmm, No. 123

=====

# 3
Computed, not measured: crystalline SrPaIr2 at its relaxed geometry at the PBE level of DFT.

a = 3.908 Å, b = 3.908 Å, c = 7.865 Å
α = 75.62°, β = 75.62°, γ = 60.00°
Fractional coordinates of all 4 atoms:
Sr  0.500  0.500  0.500
Pa  0.000  0.000  0.000
Ir  0.263  0.263  0.210
Ir  0.737  0.737  0.790

Properties
Energy above the lowest structure with this stoichiometry = 96 meV/atom
Density = 11.717 Mg/m³
Total DFT energy (no corrections) = -7.7302 eV per atom
Space-group type = R-3m, No. 166

=====

# 4
Computed, not measured: crystalline FeW2Br at its relaxed geometry at the PBE level of DFT.

a = 2.952 Å, b = 3.420 Å, c = 7.265 Å
α = 90.00°, β = 90.00°, γ = 90.00°
Each line ends with the local moment (μB).
Fractional coordinates of all 4 atoms:
Br  0.500  0.250  0.250  0.00
Fe  0.500  0.750  0.750  1.39
W  0.000  0.250  0.922  -0.04
W  0.000  0.250  0.578  -0.04

Properties
Energy above the lowest structure with this stoichiometry = 112 meV/atom
Formation energy from raw total energies = 0.674 eV per atom
Density = 11.395 Mg/m³
Total DFT energy (no corrections) = -8.3364 eV per atom
Space-group type = Pmmm, No. 47

=====

# 5
Computed, not measured: crystalline Ac6Pm5Er2 at its relaxed geometry at the PBE level of DFT.

a = 3.752 Å, b = 11.343 Å, c = 24.026 Å
α = 90.00°, β = 90.00°, γ = 90.00°
Fractional coordinates of all 26 atoms:
Ac  0.000  0.148  0.385
Ac  0.000  0.852  0.615
Ac  0.000  0.648  0.115
Ac  0.000  0.352  0.885
Ac  0.500  0.334  0.134
Ac  0.500  0.666  0.866
Ac  0.500  0.834  0.366
Ac  0.500  0.166  0.634
Ac  0.000  0.518  0.387
Ac  0.000  0.482  0.613
Ac  0.000  0.018  0.113
Ac  0.000  0.982  0.887
Pm  0.500  0.336  0.497
Pm  0.500  0.664  0.503
Pm  0.500  0.836  0.003
Pm  0.500  0.164  0.997
Pm  0.500  0.585  0.250
Pm  0.500  0.415  0.750
Pm  0.500  0.085  0.250
Pm  0.500  0.915  0.750
Pm  0.500  0.500  0.000
Pm  0.500  0.000  0.500
Er  0.000  0.335  0.266
Er  0.000  0.665  0.734
Er  0.000  0.835  0.234
Er  0.000  0.165  0.766

Properties
Density = 7.866 Mg/m³
Total DFT energy (no corrections) = -4.2709 eV per atom
Space-group type = Pbam, No. 55

=====

# 6
Computed, not measured: crystalline ZrCoN at its relaxed geometry at the PBE level of DFT.

a = 4.819 Å, b = 3.155 Å, c = 10.279 Å
α = 90.00°, β = 105.03°, γ = 90.00°
Fractional coordinates of all 12 atoms:
Zr  0.601  0.000  0.104
Zr  0.601  0.500  0.604
Zr  0.243  0.000  0.317
Zr  0.243  0.500  0.817
Co  0.083  0.000  0.553
Co  0.083  0.500  0.053
Co  0.767  0.000  0.863
Co  0.767  0.500  0.363
N  0.138  0.000  0.961
N  0.138  0.500  0.461
N  0.426  0.000  0.711
N  0.426  0.500  0.211

Properties
Formation energy from raw total energies = -0.752 eV per atom
Density = 7.225 Mg/m³
Total DFT energy (no corrections) = -8.7456 eV per atom
Space-group type = Cm, No. 8

=====

# 7
Computed, not measured: crystalline Ba6InPtAu at its relaxed geometry at the PBE level of DFT.

a = 8.245 Å, b = 8.245 Å, c = 7.733 Å
α = 90.01°, β = 89.99°, γ = 59.98°
Fractional coordinates of all 9 atoms:
Ba  0.012  0.349  0.262
Ba  0.349  0.012  0.738
Ba  0.639  0.350  0.738
Ba  0.012  0.639  0.738
Ba  0.350  0.639  0.262
Ba  0.639  0.012  0.262
In  0.000  0.000  0.000
Pt  0.333  0.333  0.500
Au  0.667  0.667  0.500

Properties
Density = 4.855 Mg/m³
Total DFT energy (no corrections) = -3.0605 eV per atom
Space-group type = P312, No. 149

=====

# 8
Computed, not measured: crystalline Pr3BiTe2 at its relaxed geometry at the PBE level of DFT.

a = 6.459 Å, b = 6.458 Å, c = 10.222 Å
α = 108.42°, β = 90.00°, γ = 90.00°
Fractional coordinates of all 12 atoms:
Pr  0.500  0.333  0.666
Pr  0.000  0.833  0.667
Pr  0.500  0.667  0.334
Pr  0.000  0.167  0.333
Pr  0.000  0.500  0.000
Pr  0.500  0.000  0.000
Bi  0.000  0.333  0.667
Bi  0.000  0.667  0.333
Te  0.500  0.834  0.667
Te  0.500  0.166  0.333
Te  0.000  0.000  0.000
Te  0.500  0.500  0.000

Properties
Energy above the lowest structure with this stoichiometry = 0 meV/atom
Formation energy from raw total energies = -1.301 eV per atom
Density = 7.281 Mg/m³
Total DFT energy (no corrections) = -5.3851 eV per atom
Space-group type = Cmmm, No. 65

=====

# 9
Computed, not measured: crystalline CrSnPb2 at its relaxed geometry at the PBE level of DFT.

a = 4.331 Å, b = 4.331 Å, c = 11.358 Å
α = 79.01°, β = 79.01°, γ = 90.00°
Each line ends with the local moment (μB).
Fractional coordinates of all 8 atoms:
Pb  0.618  0.125  0.250  0.02
Pb  0.132  0.625  0.250  0.02
Pb  0.375  0.382  0.750  0.02
Pb  0.875  0.868  0.750  0.02
Cr  0.500  0.500  0.000  -0.41
Cr  0.250  0.750  0.500  -0.40
Sn  0.000  0.000  0.000  0.02
Sn  0.750  0.250  0.500  0.02

Properties
Density = 9.471 Mg/m³
Total DFT energy (no corrections) = -4.4191 eV per atom
Space-group type = I-42d, No. 122

=====

# 10
Computed, not measured: crystalline CrCuTe3 at its relaxed geometry at the PBE level of DFT.

a = 5.207 Å, b = 5.207 Å, c = 5.207 Å
α = 90.00°, β = 90.00°, γ = 90.00°
Each line ends with the local moment (μB).
Fractional coordinates of all 5 atoms:
Cr  0.000  0.000  0.000  2.73
Te  0.000  0.500  0.000  -0.20
Te  0.000  0.000  0.500  -0.12
Te  0.500  0.000  0.000  -0.19
Cu  0.500  0.500  0.500  -0.03

Properties
Energy above the lowest structure with this stoichiometry = 621 meV/atom
Formation energy from raw total energies = 0.639 eV per atom
Density = 5.860 Mg/m³
Total DFT energy (no corrections) = -3.9895 eV per atom
Space-group type = Pm-3m, No. 221

=====

# 11
Computed, not measured: crystalline CoSBr2 at its relaxed geometry at the PBE level of DFT.

a = 4.855 Å, b = 4.855 Å, c = 4.855 Å
α = 60.00°, β = 60.00°, γ = 60.00°
Each line ends with the local moment (μB).
Fractional coordinates of all 4 atoms:
S  0.000  0.000  0.000  -0.71
Co  0.500  0.500  0.500  2.21
Br  0.250  0.250  0.250  -0.05
Br  0.750  0.750  0.750  -0.05

Properties
Formation energy from raw total energies = 0.928 eV per atom
Density = 5.147 Mg/m³
Total DFT energy (no corrections) = -2.7168 eV per atom
Space-group type = Fm-3m, No. 225

=====

# 12
Computed, not measured: crystalline Ac2BeSn at its relaxed geometry at the PBE level of DFT.

a = 4.040 Å, b = 4.040 Å, c = 11.362 Å
α = 79.76°, β = 79.76°, γ = 60.00°
Fractional coordinates of all 4 atoms:
Be  0.000  0.000  0.000
Ac  0.094  0.094  0.717
Ac  0.906  0.906  0.283
Sn  0.500  0.500  0.500

Properties
Energy above the lowest structure with this stoichiometry = 704 meV/atom
Density = 6.145 Mg/m³
Total DFT energy (no corrections) = -3.3646 eV per atom
Space-group type = R-3m, No. 166

=====

# 13
Computed, not measured: crystalline PrDyY2 at its relaxed geometry at the PBE level of DFT.

a = 5.606 Å, b = 3.563 Å, c = 6.871 Å
α = 105.09°, β = 90.00°, γ = 90.00°
Fractional coordinates of all 4 atoms:
Pr  0.061  0.786  0.601
Dy  0.561  0.399  0.826
Y  0.061  0.043  0.118
Y  0.561  0.657  0.345

Properties
Energy above the lowest structure with this stoichiometry = 35 meV/atom
Density = 6.029 Mg/m³
Total DFT energy (no corrections) = -5.5245 eV per atom
Space-group type = Amm2, No. 38

=====

# 14
Computed, not measured: crystalline Co2TePt at its relaxed geometry at the PBE level of DFT.

a = 4.423 Å, b = 4.423 Å, c = 4.423 Å
α = 60.00°, β = 60.00°, γ = 60.00°
Each line ends with the local moment (μB).
Fractional coordinates of all 4 atoms:
Co  0.000  0.000  0.000  1.28
Co  0.250  0.250  0.250  1.52
Pt  0.500  0.500  0.500  0.03
Te  0.750  0.750  0.750  -0.02

Properties
Formation energy from raw total energies = 0.335 eV per atom
Density = 11.954 Mg/m³
Total DFT energy (no corrections) = -5.5132 eV per atom
Space-group type = F-43m, No. 216

=====

# 15
Computed, not measured: crystalline BaZrPb4 at its relaxed geometry at the PBE level of DFT.

a = 6.519 Å, b = 6.519 Å, c = 6.519 Å
α = 60.00°, β = 60.00°, γ = 60.00°
Each line ends with the local moment (μB).
Fractional coordinates of all 6 atoms:
Ba  0.000  0.000  0.000  0.05
Zr  0.750  0.750  0.750  0.92
Pb  0.872  0.376  0.376  -0.02
Pb  0.376  0.376  0.872  -0.02
Pb  0.376  0.872  0.376  -0.02
Pb  0.376  0.376  0.376  -0.02

Properties
Density = 8.961 Mg/m³
Total DFT energy (no corrections) = -4.1076 eV per atom
Space-group type = F-43m, No. 216

=====

# 16
Computed, not measured: crystalline CaTbMgAl at its relaxed geometry at the PBE level of DFT.

a = 3.623 Å, b = 3.623 Å, c = 8.176 Å
α = 90.00°, β = 90.00°, γ = 90.00°
Fractional coordinates of all 4 atoms:
Ca  0.000  0.000  0.878
Tb  0.000  0.000  0.335
Mg  0.500  0.500  0.600
Al  0.500  0.500  0.116

Properties
Energy above the lowest structure with this stoichiometry = 6 meV/atom
Density = 3.873 Mg/m³
Total DFT energy (no corrections) = -3.1883 eV per atom
Space-group type = P4mm, No. 99

=====

# 17
Computed, not measured: crystalline YReAg at its relaxed geometry at the PBE level of DFT.

a = 5.391 Å, b = 5.391 Å, c = 5.391 Å
α = 149.38°, β = 132.11°, γ = 57.92°
Fractional coordinates of all 3 atoms:
Ag  0.990  0.990  0.000
Re  0.338  0.338  0.000
Y  0.672  0.672  0.000

Properties
Energy above the lowest structure with this stoichiometry = 14 meV/atom
Density = 10.821 Mg/m³
Total DFT energy (no corrections) = -6.7595 eV per atom
Space-group type = Imm2, No. 44

=====

# 18
Computed, not measured: crystalline GaNi3Ir at its relaxed geometry at the PBE level of DFT.

a = 5.190 Å, b = 6.328 Å, c = 8.585 Å
α = 119.17°, β = 90.00°, γ = 90.00°
Each line ends with the local moment (μB).
Fractional coordinates of all 20 atoms:
Ga  0.860  0.612  0.159  -0.01
Ga  0.140  0.388  0.841  -0.01
Ga  0.360  0.388  0.341  -0.01
Ga  0.640  0.612  0.659  -0.01
Ni  0.123  0.999  0.250  0.27
Ni  0.877  0.001  0.750  0.27
Ni  0.623  0.001  0.250  0.27
Ni  0.377  0.999  0.750  0.27
Ni  0.618  0.803  0.456  0.23
Ni  0.382  0.197  0.544  0.23
Ni  0.118  0.197  0.044  0.23
Ni  0.882  0.803  0.956  0.23
Ni  0.131  0.601  0.648  0.20
Ni  0.869  0.399  0.352  0.20
Ni  0.631  0.399  0.852  0.20
Ni  0.369  0.601  0.148  0.20
Ir  0.125  0.802  0.451  0.24
Ir  0.875  0.198  0.549  0.24
Ir  0.625  0.198  0.049  0.24
Ir  0.375  0.802  0.951  0.24

Properties
Energy above the lowest structure with this stoichiometry = 0 meV/atom
Density = 11.817 Mg/m³
Total DFT energy (no corrections) = -6.0182 eV per atom
Space-group type = P2_1/c, No. 14

=====

# 19
Computed, not measured: crystalline KBa4Ag at its relaxed geometry at the PBE level of DFT.

a = 8.026 Å, b = 8.026 Å, c = 8.026 Å
α = 60.00°, β = 60.00°, γ = 60.00°
Fractional coordinates of all 6 atoms:
K  0.750  0.750  0.750
Ba  0.877  0.374  0.374
Ba  0.374  0.374  0.877
Ba  0.374  0.877  0.374
Ba  0.374  0.374  0.374
Ag  0.000  0.000  0.000

Properties
Energy above the lowest structure with this stoichiometry = 430 meV/atom
Density = 3.162 Mg/m³
Total DFT energy (no corrections) = -1.5352 eV per atom
Space-group type = F-43m, No. 216

=====

# 20
Computed, not measured: crystalline PmPrSn2 at its relaxed geometry at the PBE level of DFT.

a = 3.509 Å, b = 3.509 Å, c = 12.079 Å
α = 81.65°, β = 81.65°, γ = 60.00°
Fractional coordinates of all 4 atoms:
Pr  0.000  0.000  0.000
Sn  0.090  0.090  0.730
Sn  0.910  0.910  0.270
Pm  0.500  0.500  0.500

Properties
Density = 6.842 Mg/m³
Total DFT energy (no corrections) = -4.5098 eV per atom
Space-group type = R-3m, No. 166